1.
Here is crystalline Dy8Tl5In at its relaxed geometry from Alexandria via LeMat-Bulk. Energies are from GGA-PBE.

abc: 8.079 8.079 8.079
angles: 109.42 109.57 109.42
Fractional positions:
Tl 0.000 0.376 0.126
Tl 0.500 0.000 0.500
Tl 0.750 0.624 0.625
Tl 0.874 0.874 0.250
Tl 0.375 0.126 0.000
Dy 0.625 0.896 0.874
Dy 0.625 0.398 0.875
Dy 0.126 0.750 0.022
Dy 0.978 0.104 0.728
Dy 0.773 0.250 0.375
Dy 0.272 0.250 0.375
Dy 0.125 0.750 0.523
Dy 0.477 0.602 0.227
In 0.250 0.500 0.750

## Properties
Space group = I-4 (82)
Crystal system = tetragonal
Magnetic moment = 0.0 μB/f.u.
Total energy = -55.017 eV per cell
Fermi-level density of states = 1.339 states/eV/atom

2.
Here is crystalline Dy7TlIn4 at its relaxed geometry from Alexandria via LeMat-Bulk. Energies are from GGA-PBE.

abc: 5.720 9.321 7.723
angles: 81.05 68.26 72.13
Fractional positions:
Dy 0.215 0.131 0.439
Dy 0.070 0.672 0.187
Dy 0.930 0.328 0.813
Dy 0.500 0.000 0.000
Dy 0.659 0.406 0.275
Dy 0.341 0.594 0.725
Dy 0.785 0.869 0.561
In 0.703 0.660 0.934
In 0.436 0.774 0.354
In 0.297 0.340 0.066
In 0.564 0.226 0.646
Tl 0.000 0.000 0.000

## Properties
Space group = C2/m (12)
Crystal system = monoclinic
Magnetic moment = 0.0 μB/f.u.
Total energy = -47.268 eV per cell
Fermi-level density of states = 1.031 states/eV/atom

3.
Here is crystalline Dy3Tl2In2 at its relaxed geometry from Alexandria via LeMat-Bulk. Energies are from GGA-PBE.

abc: 4.889 3.670 11.067
angles: 99.55 102.76 90.00
Site moments in Bohr magnetons follow the coordinates.
Fractional positions:
Dy 0.300 0.800 0.601  0.24
Dy 0.000 0.000 0.000  0.04
Dy 0.700 0.200 0.399  0.24
In 0.849 0.349 0.698  0.00
In 0.151 0.651 0.302  0.00
Tl 0.569 0.569 0.139  0.01
Tl 0.431 0.431 0.861  0.01

## Properties
Space group = Immm (71)
Crystal system = orthorhombic
Energy relative to the lowest polymorph listed for this composition = 42.2 kJ/mol of formula units
Magnetic moment = 0.8 μB/f.u.
Total energy = -26.048 eV per cell
Fermi-level density of states = 0.788 states/eV/atom

4.
Here is crystalline DyTl2In at its relaxed geometry from Alexandria via LeMat-Bulk. Energies are from GGA-PBE.

abc: 4.972 4.972 5.949
angles: 65.30 65.30 60.00
Fractional positions:
Dy 0.500 0.500 0.500
Tl 0.254 0.254 0.239
Tl 0.746 0.746 0.761
In 0.000 0.000 0.000

## Properties
Space group = R-3m (166)
Crystal system = trigonal
Magnetic moment = 0.0 μB/f.u.
Total energy = -12.472 eV per cell
Fermi-level density of states = 0.511 states/eV/atom

> The lowest Fermi-level density of states belongs to which entry?

DyTl2In